Entry 1:
Density functional theory data (PBE) for a relaxed Hf11Al9Co4 crystal.

The energy relative to the elements is -465.8 meV/atom. For the volume, the calculation gives 846 Å³/cell.

It has space group Cmmm (No. 65), with a = 13.1756 Å, b = 19.9372 Å, c = 3.2191 Å, α = 90.00°, β = 90.00° and γ = 90.00°. The distinct sites, in fractional coordinates, are Hf at (0.0000, 0.0000, 0.0000), Hf at (0.0000, 0.1571, 0.0000), Hf at (0.0000, 0.3779, 0.0000), Hf at (0.1845, 0.5000, 0.0000), Hf at (0.2384, 0.1729, 0.0000), Al at (0.0000, 0.5000, 0.5000), Al at (0.1030, 0.2651, 0.5000), Al at (0.1478, 0.0703, 0.5000) and Co at (0.1563, 0.3971, 0.5000).

***

Entry 2:
Density functional theory data (PBE) for a relaxed Hf6AlCo2 crystal.

The energy relative to the elements is -259.2 meV/atom. For the volume, the calculation gives 687 Å³/cell.

It has space group Immm (No. 71), with a = 8.4562 Å, b = 8.4897 Å, c = 9.5745 Å, α = 90.00°, β = 90.00° and γ = 90.00°. The distinct sites, in fractional coordinates, are Hf at (0.0000, 0.2014, 0.2354), Hf at (0.1971, 0.5000, 0.1715), Hf at (0.2014, 0.3148, 0.5000), Al at (0.0000, 0.0000, 0.0000), Al at (0.0000, 0.0000, 0.5000), Co at (0.0000, 0.3413, 0.0000) and Co at (0.0000, 0.5000, 0.3684).

***

Entry 3:
Density functional theory data (PBE) for a relaxed Hf4AlCo crystal.

The energy relative to the elements is -213.9 meV/atom. For the volume, the calculation gives 470 Å³/cell.

It has space group C2/c (No. 15), with a = 7.8523 Å, b = 12.0816 Å, c = 5.2578 Å, α = 90.00°, β = 109.57° and γ = 90.00°. The distinct sites, in fractional coordinates, are Hf at (0.1123, 0.1801, 0.0659), Hf at (0.2142, 0.4210, 0.3424), Al at (0.0000, 0.3782, 0.7500) and Co at (0.0000, 0.0017, 0.2500).

***

Entry 4:
Density functional theory data (PBE) for a relaxed Hf3Al2Co crystal.

The energy relative to the elements is -343.4 meV/atom. For the volume, the calculation gives 437 Å³/cell.

It has space group Pnma (No. 62), with a = 10.9446 Å, b = 4.1943 Å, c = 9.5187 Å, α = 90.00°, β = 90.00° and γ = 90.00°. The distinct sites, in fractional coordinates, are Hf at (0.0450, 0.2500, 0.1567), Hf at (0.1642, 0.7500, 0.6048), Hf at (0.2278, 0.2500, 0.8206), Al at (0.0060, 0.7500, 0.3665), Al at (0.1728, 0.7500, 0.0189) and Co at (0.1268, 0.2500, 0.4031).

***

Entry 5:
Density functional theory data (PBE) for a relaxed LuHfAlCo crystal.

The energy relative to the elements is -221.0 meV/atom. For the volume, the calculation gives 299 Å³/cell.

It has space group F-43m (No. 216), with a = 6.6874 Å, b = 6.6874 Å, c = 6.6874 Å, α = 90.00°, β = 90.00° and γ = 90.00°. The distinct sites, in fractional coordinates, are Lu at (0.0000, 0.0000, 0.0000), Hf at (0.0000, 0.0000, 0.5000), Al at (0.2500, 0.2500, 0.7500) and Co at (0.2500, 0.2500, 0.2500).

***

Entry 6:
Density functional theory data (PBE) for a relaxed Hf2MnAl5Co2 crystal.

The energy relative to the elements is -451.0 meV/atom. For the volume, the calculation gives 306 Å³/cell.

It has space group P4/mbm (No. 127), with a = 8.8040 Å, b = 8.8040 Å, c = 3.9455 Å, α = 90.00°, β = 90.00° and γ = 90.00°. The distinct sites, in fractional coordinates, are Hf at (0.1767, 0.3233, 0.0000), Mn at (0.0000, 0.0000, 0.0000), Al at (0.0000, 0.5000, 0.5000), Al at (0.0658, 0.7921, 0.5000) and Co at (0.1176, 0.6176, 0.0000).

***

Entry 7:
Density functional theory data (PBE) for a relaxed Hf2Mn2AlCo5 crystal.

The energy relative to the elements is -153.8 meV/atom. For the volume, the calculation gives 270 Å³/cell.

It has space group P4/mbm (No. 127), with a = 8.7367 Å, b = 8.7367 Å, c = 3.5344 Å, α = 90.00°, β = 90.00° and γ = 90.00°. The distinct sites, in fractional coordinates, are Hf at (0.1777, 0.3223, 0.0000), Mn at (0.1201, 0.6201, 0.0000), Al at (0.0000, 0.0000, 0.0000), Co at (0.0000, 0.5000, 0.5000) and Co at (0.0632, 0.7924, 0.5000).

***

Entry 8:
Density functional theory data (PBE) for a relaxed HfMnAl2Co crystal.

The energy relative to the elements is 538.5 meV/atom. For the volume, the calculation gives 91 Å³/cell.

It has space group P4/mmm (No. 123), with a = 4.4842 Å, b = 4.4842 Å, c = 4.5488 Å, α = 90.00°, β = 90.00° and γ = 90.00°. The distinct sites, in fractional coordinates, are Hf at (0.0000, 0.0000, 0.0000), Mn at (0.0000, 0.0000, 0.5000), Al at (0.0000, 0.5000, 0.5000) and Co at (0.5000, 0.5000, 0.0000).

***

Entry 9:
Density functional theory data (PBE) for a relaxed Hf2Al5CoPd2 crystal.

The energy relative to the elements is -518.7 meV/atom. For the volume, the calculation gives 324 Å³/cell.

It has space group P4/mbm (No. 127), with a = 10.2609 Å, b = 10.2609 Å, c = 3.0799 Å, α = 90.00°, β = 90.00° and γ = 90.00°. The distinct sites, in fractional coordinates, are Hf at (0.1781, 0.3219, 0.0000), Al at (0.0000, 0.5000, 0.5000), Al at (0.0454, 0.8131, 0.5000), Co at (0.0000, 0.0000, 0.0000) and Pd at (0.1341, 0.6341, 0.0000).

***

Entry 10:
Density functional theory data (PBE) for a relaxed HfAl2CoPd crystal.

The energy relative to the elements is 378.1 meV/atom. For the volume, the calculation gives 96 Å³/cell.

It has space group P4/mmm (No. 123), with a = 4.5240 Å, b = 4.5240 Å, c = 4.6847 Å, α = 90.00°, β = 90.00° and γ = 90.00°. The distinct sites, in fractional coordinates, are Hf at (0.0000, 0.0000, 0.0000), Al at (0.0000, 0.5000, 0.5000), Co at (0.5000, 0.5000, 0.0000) and Pd at (0.5000, 0.5000, 0.5000).

***

Entry 11:
Density functional theory data (PBE) for a relaxed HfAlCoRu2 crystal.

The energy relative to the elements is 1194.7 meV/atom. For the volume, the calculation gives 91 Å³/cell.

It has space group P4/mmm (No. 123), with a = 4.3361 Å, b = 4.3361 Å, c = 4.8237 Å, α = 90.00°, β = 90.00° and γ = 90.00°. The distinct sites, in fractional coordinates, are Hf at (0.0000, 0.0000, 0.0000), Al at (0.0000, 0.0000, 0.5000), Co at (0.5000, 0.5000, 0.0000) and Ru at (0.0000, 0.5000, 0.5000).

***

Entry 12:
Density functional theory data (PBE) for a relaxed HfAlCoTc2 crystal.

The energy relative to the elements is 1570.8 meV/atom. For the volume, the calculation gives 102 Å³/cell.

It has space group P4/mmm (No. 123), with a = 4.7770 Å, b = 4.7770 Å, c = 4.4879 Å, α = 90.00°, β = 90.00° and γ = 90.00°. The distinct sites, in fractional coordinates, are Hf at (0.0000, 0.0000, 0.0000), Al at (0.5000, 0.5000, 0.5000), Co at (0.0000, 0.0000, 0.5000) and Tc at (0.0000, 0.5000, 0.0000).

***

Repeat the third record exactly.
Density functional theory data (PBE) for a relaxed Hf4AlCo crystal.

The energy relative to the elements is -213.9 meV/atom. For the volume, the calculation gives 470 Å³/cell.

It has space group C2/c (No. 15), with a = 7.8523 Å, b = 12.0816 Å, c = 5.2578 Å, α = 90.00°, β = 109.57° and γ = 90.00°. The distinct sites, in fractional coordinates, are Hf at (0.1123, 0.1801, 0.0659), Hf at (0.2142, 0.4210, 0.3424), Al at (0.0000, 0.3782, 0.7500) and Co at (0.0000, 0.0017, 0.2500).

***

Number 12 is which compound?
HfAlCoTc2

***

What is the formula in the ninth record?
Hf2Al5CoPd2